# Rb3HoSc3Te8

A geometry-optimized Rb3HoSc3Te8 structure (GGA-PBE, the Alexandria database).

Cell and atoms, written as CIF:
```
data_Rb3HoSc3Te8
_cell_length_a 14.692
_cell_length_b 8.481
_cell_length_c 10.066
_cell_angle_alpha 90.00
_cell_angle_beta 119.11
_cell_angle_gamma 90.00
_space_group_name_H-M_alt 'C 1 2/m 1'
_space_group_IT_number 12
loop_
_space_group_symop_operation_xyz
'x,y,z'
'-x,-y,-z'
'-x,y,-z'
'x,-y,z'
'x+1/2,y+1/2,z'
'-x+1/2,-y+1/2,-z'
'-x+1/2,y+1/2,-z'
'x+1/2,-y+1/2,z'
loop_
_atom_site_label
_atom_site_fract_x
_atom_site_fract_y
_atom_site_fract_z
Rb1 0.000 0.000 0.000
Rb2 0.250 0.250 0.000
Ho1 0.000 0.000 0.500
Sc1 0.000 0.500 0.500
Sc2 0.250 0.250 0.500
Te1 0.021 0.261 0.305
Te2 0.231 0.500 0.690
Te3 0.239 0.000 0.695
```

## Properties
**Total moment**: 0.000 Bohr magnetons per cell
**Uncorrected energy**: -4.66 eV per atom
**Formation energy from raw total energies**: -1.22 eV/atom

# TbSmEr2Sc2

A geometry-optimized TbSmEr2Sc2 structure (GGA-PBE, the Alexandria database).

Cell and atoms, written as CIF:
```
data_TbSmEr2Sc2
_cell_length_a 6.284
_cell_length_b 17.287
_cell_length_c 3.333
_cell_angle_alpha 90.00
_cell_angle_beta 90.00
_cell_angle_gamma 90.00
_space_group_name_H-M_alt 'P n n m'
_space_group_IT_number 58
loop_
_space_group_symop_operation_xyz
'x,y,z'
'-x,-y,-z'
'-x,-y,z'
'x,y,-z'
'x+1/2,-y+1/2,-z+1/2'
'-x+1/2,y+1/2,z+1/2'
'-x+1/2,y+1/2,-z+1/2'
'x+1/2,-y+1/2,z+1/2'
loop_
_atom_site_label
_atom_site_fract_x
_atom_site_fract_y
_atom_site_fract_z
Tb1 0.000 0.000 0.000
Sm1 0.000 0.500 0.000
Er1 0.225 0.190 0.000
Sc1 0.224 0.353 0.500
```

## Properties
**Total moment**: 0.000 Bohr magnetons per cell
**Uncorrected energy**: -4.91 eV per atom
**ΔH_f (0 K)**: 283 meV/atom

# K2LiCdS

A geometry-optimized K2LiCdS structure (GGA-PBE, the Alexandria database).

Cell and atoms, written as CIF:
```
data_K2LiCdS
_cell_length_a 6.318
_cell_length_b 6.318
_cell_length_c 4.535
_cell_angle_alpha 90.00
_cell_angle_beta 90.00
_cell_angle_gamma 90.00
_space_group_name_H-M_alt 'P 4/m m m'
_space_group_IT_number 123
_space_group_name_Hall '-P 4 2'
loop_
_atom_site_label
_atom_site_fract_x
_atom_site_fract_y
_atom_site_fract_z
K1 0.000 0.500 0.000
Li1 0.000 0.000 0.500
Cd1 0.500 0.500 0.500
S1 0.000 0.000 0.000
```

## Properties
**Total moment**: 0.135 Bohr magnetons per cell
**Uncorrected energy**: -2.40 eV per atom
**Formation energy from raw total energies**: -0.57 eV/atom